Record 1
! GGA-PBE MgGaAg3, optimized geometry; values from VASP
&SYSTEM
  ibrav = 0, nat = 20, ntyp = 3
/
ATOMIC_SPECIES
Mg 24.30 Mg.upf
Ga 69.72 Ga.upf
Ag 107.87 Ag.upf
CELL_PARAMETERS angstrom
-4.193 0.224 -1.755
-2.461 -4.669 5.285
-2.300 8.689 6.606
ATOMIC_POSITIONS angstrom
Mg -1.150 4.345 3.303
Mg -3.327 -2.223 1.765
Mg -2.097 0.112 -0.877
Mg -2.380 2.010 5.945
Ga -3.955 3.643 4.016
Ga -1.940 -3.148 4.232
Ga -4.999 0.601 6.120
Ga -7.014 7.392 5.904
Ag -4.217 2.833 10.439
Ag -3.933 0.934 3.616
Ag -3.008 2.689 1.631
Ag -5.662 -0.343 1.683
Ag -4.737 1.412 -0.303
Ag -5.022 3.310 6.520
Ag -5.946 1.556 8.506
Ag -3.293 4.587 8.453
Ag -4.606 6.105 5.888
Ag -2.592 -0.686 6.104
Ag -4.348 -1.861 4.249
Ag -6.362 4.930 4.032
! - E_tot: -0.0983 Ha/atom

---

Record 2
! GGA-PBE Mg7Ga2Ag2, optimized geometry; values from VASP
&SYSTEM
  ibrav = 0, nat = 11, ntyp = 3
/
ATOMIC_SPECIES
Mg 24.30 Mg.upf
Ga 69.72 Ga.upf
Ag 107.87 Ag.upf
CELL_PARAMETERS angstrom
-1.791 -5.321 1.869
5.178 0.168 5.440
-2.982 4.337 2.705
ATOMIC_POSITIONS angstrom
Mg 0.041 2.218 2.962
Mg 2.751 -2.542 4.765
Mg 0.364 -3.035 7.052
Mg -2.346 1.726 5.249
Mg 0.000 0.000 0.000
Mg 1.520 -0.366 6.391
Mg -1.115 -0.451 3.623
Ga -1.299 -0.718 6.446
Ga 1.704 -0.099 3.568
Ag 3.045 -2.378 7.549
Ag -2.640 1.561 2.465
! - E_tot: -0.0773 Ha/atom

---

Record 3
! GGA-PBE MgGa8Ag6, optimized geometry; values from VASP
&SYSTEM
  ibrav = 0, nat = 15, ntyp = 3
/
ATOMIC_SPECIES
Mg 24.30 Mg.upf
Ga 69.72 Ga.upf
Ag 107.87 Ag.upf
CELL_PARAMETERS angstrom
7.891 0.000 0.000
3.945 6.834 0.000
3.945 2.278 5.294
ATOMIC_POSITIONS angstrom
Mg 0.000 0.000 0.000
Ga 6.423 2.337 2.164
Ga 9.079 2.175 3.129
Ga 5.235 4.717 3.129
Ga 7.891 4.556 1.324
Ga 7.891 4.556 3.970
Ga 10.547 4.394 2.164
Ga 6.703 6.936 2.164
Ga 9.358 6.775 3.129
Ag 10.645 8.492 4.767
Ag 1.913 2.075 0.527
Ag 4.786 4.139 0.527
Ag 10.996 4.972 4.767
Ag 13.869 7.036 4.767
Ag 5.137 0.619 0.527
! - E_tot: -0.1052 Ha/atom

---

Record 4
! GGA-PBE Mg4Ga5Ag, optimized geometry; values from VASP
&SYSTEM
  ibrav = 0, nat = 10, ntyp = 3
/
ATOMIC_SPECIES
Mg 24.30 Mg.upf
Ga 69.72 Ga.upf
Ag 107.87 Ag.upf
CELL_PARAMETERS angstrom
3.295 0.000 0.000
0.000 3.295 0.000
0.000 0.000 17.617
ATOMIC_POSITIONS angstrom
Mg 0.000 0.000 3.449
Mg 0.000 0.000 7.020
Mg 0.000 0.000 10.597
Mg 0.000 0.000 14.168
Ga 1.647 1.647 1.643
Ga 1.647 1.647 5.228
Ga 1.647 1.647 8.809
Ga 1.647 1.647 12.389
Ga 1.647 1.647 15.974
Ag 0.000 0.000 0.000
! - E_tot: -0.0933 Ha/atom

---

| no. | total magnetization (μB per cell) |
| --- | --- |
| 1 | 0.000 |
| 2 | 0.000 |
| 3 | 0.000 |
| 4 | 0.000 |